(1)
This record from the Alexandria database describes a relaxed LaPmYMg crystal. The functional is PBE.

- formation energy from the elements (kcal/mol of atoms) = 1.28
- M_tot (μB per cell) = 0.0

a = 8.0051 Å, b = 8.0051 Å, c = 8.0051 Å
α = 90.00°, β = 90.00°, γ = 90.00°
Last column: nearest neighbours and their distance in Å.
Space group F-43m (No. 216)
Symmetry-distinct sites (fractional):
1 La 0.0000 0.0000 0.0000 x4  4 Pm 3.47, 4 Mg 3.47
2 Pm 0.2500 0.2500 0.7500 x4  4 La 3.47, 4 Y 3.47
3 Y 0.0000 0.0000 0.5000 x4  4 Mg 3.47, 4 Pm 3.47
4 Mg 0.2500 0.2500 0.2500 x4  4 La 3.47, 4 Y 3.47

***

(2)
This record from the Alexandria database describes a relaxed Tm4SbC crystal. The functional is PBE.

- M_tot (μB per cell) = 0.0
- energy relative to the elements, uncorrected (meV per atom) = -291

a = 5.8757 Å, b = 9.6387 Å, c = 5.9046 Å
α = 90.00°, β = 99.76°, γ = 90.00°
Last column: nearest neighbours and their distance in Å.
Space group P2_1/m (No. 11)
Symmetry-distinct sites (fractional):
1 Tm 0.1330 0.2500 0.2393 x2  1 C 2.24
2 Tm 0.2588 0.0477 0.7560 x4  1 C 2.22
3 Tm 0.2595 0.7500 0.3702 x2  1 C 2.24
4 Sb 0.4017 0.7500 0.9050 x2  8 Tm 3.00-3.23
5 C 0.1192 0.2500 0.6158 x2  4 Tm 2.22-2.24

***

(3)
This record from the Alexandria database describes a relaxed Ag5Pd4 crystal. The functional is PBE.

- formation energy from the elements (kcal/mol of atoms) = -0.80
- M_tot (μB per cell) = 0.0

a = 9.5201 Å, b = 8.6393 Å, c = 4.0254 Å
α = 90.00°, β = 114.92°, γ = 90.00°
Last column: nearest neighbours and their distance in Å.
Space group C2/m (No. 12)
Symmetry-distinct sites (fractional):
1 Ag 0.0000 0.0000 0.0000 x2  4 Ag 2.85, 8 Pd 2.86-2.87
2 Ag 0.0000 0.3301 0.0000 x4  6 Pd 2.85-2.87, 6 Ag 2.85-2.94
3 Ag 0.1697 0.5000 0.6698 x4  6 Pd 2.85-2.88, 6 Ag 2.85-2.93
4 Pd 0.1670 0.1668 0.6670 x8  8 Ag 2.85-2.88, 4 Pd 2.86-2.88

***

(4)
This record from the Alexandria database describes a relaxed InAs2Os crystal. The functional is PBE.

- formation energy from the elements (kcal/mol of atoms) = 11.77
- M_tot (μB per cell) = 0.0

a = 3.0319 Å, b = 5.1684 Å, c = 10.0211 Å
α = 90.00°, β = 90.00°, γ = 90.00°
Last column: nearest neighbours and their distance in Å.
Space group Cmm2 (No. 35)
Symmetry-distinct sites (fractional):
1 In 0.0000 0.0000 0.0000 x2  2 Os 2.84, 6 In 3.00-3.03, 2 As 3.01
2 As 0.0000 0.0000 0.5692 x2  2 Os 2.45
3 As 0.0000 0.5000 0.2590 x2  6 As 3.00-3.03, 2 In 3.01
4 Os 0.0000 0.5000 0.7609 x2  2 As 2.45

***

(5)
This record from the Alexandria database describes a relaxed TlFeRu2Se crystal. The functional is PBE.

- M_tot (μB per cell) = 0.0
- energy relative to the elements, uncorrected (meV per atom) = 1026

a = 4.5807 Å, b = 4.5807 Å, c = 4.4420 Å
α = 90.00°, β = 90.00°, γ = 90.00°
Last column: nearest neighbours and their distance in Å.
Space group P4/mmm (No. 123)
Symmetry-distinct sites (fractional):
1 Tl 0.0000 0.0000 0.0000 x1  8 Ru 3.19, 4 Se 3.24
2 Fe 0.5000 0.5000 0.5000 x1  2 Se 2.22, 4 Ru 2.29
3 Ru 0.0000 0.5000 0.5000 x2  2 Fe 2.29
4 Se 0.5000 0.5000 0.0000 x1  2 Fe 2.22

***

(6)
This record from the Alexandria database describes a relaxed ZrP2HCl crystal. The functional is PBE.

- M_tot (μB per cell) = 0.0
- electronic total energy (eV per atom) = -4.9415

a = 3.7923 Å, b = 3.7923 Å, c = 4.9320 Å
α = 90.00°, β = 90.00°, γ = 90.00°
Last column: nearest neighbours and their distance in Å.
Space group P4/mmm (No. 123)
Symmetry-distinct sites (fractional):
1 Zr 0.0000 0.0000 0.0000 x1  4 Cl 2.68
2 P 0.0000 0.5000 0.5000 x2  2 H 1.90
3 H 0.5000 0.5000 0.5000 x1  4 P 1.90
4 Cl 0.5000 0.5000 0.0000 x1  2 H 2.47, 4 Zr 2.68

***

(7)
This record from the Alexandria database describes a relaxed NiSn3Bi crystal. The functional is PBE.

- formation energy from the elements (kcal/mol of atoms) = 30.88
- M_tot (μB per cell) = 0.0

a = 5.8715 Å, b = 5.8715 Å, c = 5.8715 Å
α = 90.00°, β = 90.00°, γ = 90.00°
Last column: nearest neighbours and their distance in Å.
Space group Pm-3m (No. 221)
Symmetry-distinct sites (fractional):
1 Ni 0.0000 0.0000 0.0000 x1  12 Sn 4.15
2 Sn 0.0000 0.5000 0.5000 x3  2 Bi 2.94
3 Bi 0.5000 0.5000 0.5000 x1  6 Sn 2.94

***

(8)
This record from the Alexandria database describes a relaxed Sr4Be3Ge5 crystal. The functional is PBE.

- formation energy from the elements (kcal/mol of atoms) = -8.05
- M_tot (μB per cell) = 0.0

a = 4.1727 Å, b = 4.1727 Å, c = 18.4892 Å
α = 90.00°, β = 90.00°, γ = 120.00°
Last column: nearest neighbours and their distance in Å.
Space group P-6m2 (No. 187)
Symmetry-distinct sites (fractional):
1 Sr 0.0000 0.0000 0.1235 x2  6 Ge 3.32-3.34, 6 Be 3.32-3.34
2 Sr 0.0000 0.0000 0.3670 x2  3 Be 3.25, 9 Ge 3.26-3.44
3 Be 0.6667 0.3333 0.0000 x1  3 Ge 2.41
4 Be 0.6667 0.3333 0.2489 x2  3 Ge 2.41
5 Ge 0.3333 0.6667 0.0000 x1  3 Be 2.41
6 Ge 0.3333 0.6667 0.2483 x2  3 Be 2.41
7 Ge 0.3333 0.6667 0.5000 x1  3 Ge 2.41
8 Ge 0.6667 0.3333 0.5000 x1  3 Ge 2.41

***

(9)
This record from the Alexandria database describes a relaxed TlIn5Bi2Pb crystal. The functional is PBE.

- formation energy from the elements (kcal/mol of atoms) = 1.16
- M_tot (μB per cell) = 0.0

a = 4.4489 Å, b = 18.2667 Å, c = 13.8824 Å
α = 90.00°, β = 90.00°, γ = 90.00°
Last column: nearest neighbours and their distance in Å.
Space group Cmc2_1 (No. 36)
Symmetry-distinct sites (fractional):
1 Tl 0.0000 0.0184 0.0000 x4  5 In 3.26-3.40, 2 Bi 3.53, 2 Pb 3.63
2 In 0.0000 0.0703 0.2965 x4  4 In 3.07-3.23, 1 Tl 3.26
3 In 0.0000 0.1061 0.7837 x4  3 Bi 3.11-3.32, 1 In 3.23, 2 Pb 3.30, 1 Tl 3.40
4 In 0.0000 0.1647 0.4862 x4  1 Pb 3.12, 1 In 3.15, 4 Bi 3.22-3.35, 1 Tl 3.35
5 In 0.0000 0.2251 0.1309 x4  3 Bi 3.27-3.43, 5 In 3.37-3.65, 2 Pb 3.62
6 In 0.0000 0.4133 0.6458 x4  4 In 3.07-3.37, 1 Pb 3.23, 2 Tl 3.26, 2 Bi 3.34-3.35
7 Bi 0.0000 0.2860 0.8181 x4  8 In 3.32-3.45, 2 Pb 3.52
8 Bi 0.0000 0.4040 0.1275 x4  6 In 3.11-3.35
9 Pb 0.0000 0.3318 0.4390 x4  4 In 3.12-3.30

***

(10)
This record from the Alexandria database describes a relaxed CaCe2TcN4 crystal. The functional is PBE.

- M_tot (μB per cell) = 0.0
- energy relative to the elements, uncorrected (meV per atom) = -935

a = 3.5230 Å, b = 11.9045 Å, c = 12.2434 Å
α = 90.00°, β = 90.00°, γ = 90.00°
Last column: nearest neighbours and their distance in Å.
Space group Cmcm (No. 63)
Symmetry-distinct sites (fractional):
1 Ca 0.0000 0.0724 0.2500 x4  2 N 2.52
2 Ce 0.0000 0.3682 0.0481 x8  6 N 2.37-2.55
3 Tc 0.0000 0.1773 0.7500 x4  4 N 1.93-2.11
4 N 0.0000 0.0000 0.0000 x4  4 Ce 2.43
5 N 0.0000 0.2556 0.6116 x8  1 Tc 1.93
6 N 0.0000 0.4208 0.2500 x4  2 Tc 2.11

***

(11)
This record from the Alexandria database describes a relaxed BiPI crystal. The functional is PBE.

- M_tot (μB per cell) = 0.0
- energy relative to the elements, uncorrected (meV per atom) = -158

a = 4.3904 Å, b = 5.3194 Å, c = 10.6617 Å
α = 88.74°, β = 83.57°, γ = 65.69°
Last column: nearest neighbours and their distance in Å.
Space group P-1 (No. 2)
Symmetry-distinct sites (fractional):
1 Bi 0.1487 0.1104 0.1704 x2  3 P 2.79-2.82
2 P 0.3990 0.7154 0.9746 x2  1 P 2.17
3 I 0.2012 0.2731 0.6789 x2  3 Bi 3.31-3.35

***

(12)
This record from the Alexandria database describes a relaxed LiV5 crystal. The functional is PBE.

- formation energy from the elements (kcal/mol of atoms) = 5.79
- M_tot (μB per cell) = 0.0

a = 4.4230 Å, b = 12.1604 Å, c = 3.0132 Å
α = 90.00°, β = 90.00°, γ = 90.00°
Last column: nearest neighbours and their distance in Å.
Space group Cmmm (No. 65)
Symmetry-distinct sites (fractional):
1 Li 0.0000 0.0000 0.0000 x2  8 V 2.63-2.68
2 V 0.0000 0.1769 0.5000 x4  6 V 2.44-2.68, 2 Li 2.63
3 V 0.0000 0.3347 0.0000 x4  8 V 2.44-2.68
4 V 0.0000 0.5000 0.5000 x2  4 V 2.51, 4 Li 2.68

***

(13)
This record from the Alexandria database describes a relaxed LaCu2Ru crystal. The functional is PBE.

- formation energy from the elements (kcal/mol of atoms) = 3.48
- M_tot (μB per cell) = 0.0

a = 4.1763 Å, b = 4.1937 Å, c = 7.9702 Å
α = 90.00°, β = 90.00°, γ = 90.00°
Last column: nearest neighbours and their distance in Å.
Space group Imm2 (No. 44)
Symmetry-distinct sites (fractional):
1 La 0.0000 0.0000 0.0000 x2  4 Ru 2.88-2.90, 8 Cu 2.89-2.96
2 Cu 0.0000 0.0000 0.4994 x2  4 Cu 2.89, 4 Ru 2.89, 4 La 2.96
3 Cu 0.0000 0.5000 0.2494 x2  4 Cu 2.89, 4 La 2.89, 4 Ru 2.96
4 Ru 0.0000 0.5000 0.7494 x2  4 La 2.88-2.90, 8 Cu 2.89-2.96

***

(14)
This record from the Alexandria database describes a relaxed Ag2AsSe2 crystal. The functional is PBE.

- M_tot (μB per cell) = 0.0
- energy relative to the elements, uncorrected (meV per atom) = 19

a = 15.1061 Å, b = 4.0955 Å, c = 10.0109 Å
α = 90.00°, β = 113.43°, γ = 90.00°
Last column: nearest neighbours and their distance in Å.
Space group C2/m (No. 12)
Symmetry-distinct sites (fractional):
1 Ag 0.0897 0.0000 0.3252 x4  3 Se 2.64-2.67, 1 As 2.66
2 Ag 0.1691 0.5000 0.9811 x4  3 Se 2.64
3 As 0.1603 0.0000 0.6144 x4  2 Se 2.37-2.39
4 Se 0.1007 0.0000 0.8025 x4  1 As 2.39, 3 Ag 2.64
5 Se 0.1710 0.5000 0.2461 x4  1 As 2.37, 1 Ag 2.64

***

(15)
This record from the Alexandria database describes a relaxed AgHgRh2 crystal. The functional is PBE.

- formation energy from the elements (kcal/mol of atoms) = 5.68
- M_tot (μB per cell) = 0.0

a = 4.9103 Å, b = 2.8951 Å, c = 4.9120 Å
α = 90.00°, β = 108.45°, γ = 90.00°
Last column: nearest neighbours and their distance in Å.
Space group P2/m (No. 10)
Symmetry-distinct sites (fractional):
1 Ag 0.0000 0.0000 0.0000 x1  6 Rh 2.85-2.87, 4 Hg 2.85, 2 Ag 2.90
2 Hg 0.0000 0.5000 0.5000 x1  6 Rh 2.85-2.87, 4 Ag 2.85, 2 Hg 2.90
3 Rh 0.5000 0.0000 0.5000 x1  4 Hg 2.85, 6 Rh 2.85-2.90, 2 Ag 2.87
4 Rh 0.5000 0.5000 0.0000 x1  4 Ag 2.85, 6 Rh 2.85-2.90, 2 Hg 2.87

***

(16)
This record from the Alexandria database describes a relaxed Ho6ZnNi2 crystal. The functional is PBE.

- formation energy from the elements (kcal/mol of atoms) = -6.95
- M_tot (μB per cell) = 0.0

a = 9.2183 Å, b = 9.4983 Å, c = 9.9008 Å
α = 90.00°, β = 90.00°, γ = 90.00°
Last column: nearest neighbours and their distance in Å.
Space group Immm (No. 71)
Symmetry-distinct sites (fractional):
1 Ho 0.0000 0.1928 0.2382 x8  1 Ni 2.77, 1 Zn 2.99
2 Ho 0.1929 0.5000 0.1744 x8  3 Ni 2.70-2.88
3 Ho 0.2175 0.3200 0.5000 x8  3 Ni 2.89-3.05, 1 Zn 3.11
4 Zn 0.0000 0.0000 0.0000 x2  8 Ho 2.99-3.11, 2 Ni 3.29
5 Zn 0.0000 0.0000 0.5000 x2  8 Ho 3.17-3.32
6 Ni 0.0000 0.3463 0.0000 x4  8 Ho 2.77-3.05, 1 Ni 2.92
7 Ni 0.0000 0.5000 0.3794 x4  1 Ni 2.39